1.
A crystal of Mg2SiNi relaxed with PBEsol, computed with meta-GGA SCAN.

The calculation puts the uncorrected formation energy at -56 meV per atom. Its space-group type is P4/mmm. For the density of states at the Fermi level, the calculation gives 1.62 states/eV/cell. The total energy is -9.0903 eV/atom. As for the crystal system: tetragonal.

a = 3.8882 Å, b = 3.9035 Å, c = 3.9035 Å
α = 90.00°, β = 90.00°, γ = 90.00°
Last column: nearest neighbours and their distance in Å.
Element x y z (fractional)
Mg (0.0000, 0.0000, 0.5000)  4 Si 2.75, 4 Ni 2.75, 4 Mg 2.76
Mg (0.0000, 0.5000, 0.0000)  4 Ni 2.75, 4 Si 2.75, 4 Mg 2.76
Ni (0.5000, 0.5000, 0.5000)  8 Mg 2.75, 4 Si 2.76
Si (0.5000, 0.0000, 0.0000)  8 Mg 2.75, 4 Ni 2.76

***

2.
A crystal of Sr2MnCl relaxed with PBEsol, computed with meta-GGA SCAN.

The calculation puts the uncorrected formation energy at -769 meV per atom. Its space-group type is P2/m. For the density of states at the Fermi level, the calculation gives 2.84 states/eV/cell. The total energy is -18.4651 eV/atom. As for the crystal system: monoclinic.

a = 3.7431 Å, b = 3.9689 Å, c = 8.5846 Å
α = 89.47°, β = 90.00°, γ = 90.00°
Last column: nearest neighbours and their distance in Å.
Element x y z (fractional)
Sr (0.0000, 0.0052, 0.7706)  2 Cl 2.98
Sr (0.0000, 0.9948, 0.2294)  2 Cl 2.98
Mn (0.5000, 0.5000, 0.0000)  8 Sr 3.36-3.37, 2 Mn 3.74
Cl (0.5000, 0.0000, 0.5000)  4 Sr 2.98